1.
A plane-wave DFT calculation with PBE was carried out for a geometry-optimized Sr2PW structure.

Cell lengths 11.200, 11.200, 4.611 Å; angles 90.00, 90.00, 90.00 degrees
Space group I-42d (No. 122)
Asymmetric unit:
Sr 0.082 0.250 0.125 [8 per cell]
P 0.000 0.000 0.000 [4 per cell]
W 0.000 0.000 0.500 [4 per cell]

***

2.
A plane-wave DFT calculation with PBE was carried out for a geometry-optimized SrYP structure.

Cell lengths 3.677, 3.677, 13.247 Å; angles 90.00, 90.00, 90.00 degrees
Space group I4mm (No. 107)
Asymmetric unit:
Sr 0.000 0.000 0.000 [2 per cell]
Y 0.000 0.000 0.251 [2 per cell]
P 0.000 0.000 0.659 [2 per cell]

***

3.
A plane-wave DFT calculation with PBE was carried out for a geometry-optimized Sr3YP structure.

Cell lengths 6.262, 6.262, 6.262 Å; angles 90.00, 90.00, 90.00 degrees
Space group Pm-3m (No. 221)
Asymmetric unit:
Sr 0.000 0.000 0.500 [3 per cell]
Y 0.000 0.000 0.000 [1 per cell]
P 0.500 0.500 0.500 [1 per cell]

***

4.
A plane-wave DFT calculation with PBE was carried out for a geometry-optimized SrYP structure.

Cell lengths 6.937, 6.937, 6.937 Å; angles 90.00, 90.00, 90.00 degrees
Space group F-43m (No. 216)
Asymmetric unit:
Sr 0.000 0.000 0.000 [4 per cell]
Y 0.000 0.000 0.500 [4 per cell]
P 0.250 0.250 0.750 [4 per cell]

***

no.,ΔE_f (eV/atom),energy (Ha/atom),density of states at the Fermi level (states/eV/cell)
1,0.301,-0.1885,15.2
2,-0.741,-0.1933,3.6
3,1.052,-0.0857,4.6
4,-0.667,-0.1906,13.6